DFT (PBE) results for crystalline CdSb2O6 at its relaxed geometry.

The calculation puts the total moment at 0.00 μB per formula unit. The uncorrected formation energy comes out at -1.009 eV per atom. The final energy comes out at -47.986 eV for the cell shown.

Lattice parameters (Å, degrees): 2.987 6.193 6.193 120.00 90.00 90.00
Sites, in units of the cell vectors:
Cd  0.500  0.000  0.000
O  0.253  0.292  0.882
O  0.747  0.708  0.118
O  0.253  0.118  0.410
O  0.747  0.410  0.292
O  0.747  0.882  0.590
O  0.253  0.590  0.708
Sb  0.248  0.667  0.333
Sb  0.752  0.333  0.667